Entry 1:
# Tl5Bi2Sb (PBE, optimized geometry)
# Offset from the most stable computed form = 0 meV per atom
data_Tl5Bi2Sb
_cell_length_a 7.448
_cell_length_b 14.634
_cell_length_c 4.649
_cell_angle_alpha 90.00
_cell_angle_beta 90.00
_cell_angle_gamma 90.00
_symmetry_space_group_name_H-M 'P b a m'
_symmetry_Int_Tables_number 55
loop_
_symmetry_equiv_pos_as_xyz
'x,y,z'
'-x,-y,-z'
'-x,-y,z'
'x,y,-z'
'x+1/2,-y+1/2,-z'
'-x+1/2,y+1/2,z'
'-x+1/2,y+1/2,-z'
'x+1/2,-y+1/2,z'
loop_
_atom_site_label
_atom_site_fract_x
_atom_site_fract_y
_atom_site_fract_z
Tl1 0.000 0.000 0.000
Tl2 0.013 0.248 0.000
Tl3 0.245 0.874 0.500
Bi1 0.215 0.617 0.500
Sb1 0.000 0.500 0.000


Entry 2:
# Tl2BiSb (PBE, optimized geometry)
# Offset from the most stable computed form = 80 meV per atom
data_Tl2BiSb
_cell_length_a 5.985
_cell_length_b 5.985
_cell_length_c 6.866
_cell_angle_alpha 90.00
_cell_angle_beta 90.00
_cell_angle_gamma 90.00
_symmetry_space_group_name_H-M 'I 4/m m m'
_symmetry_Int_Tables_number 139
_symmetry_space_group_name_Hall '-I 4 2'
loop_
_atom_site_label
_atom_site_fract_x
_atom_site_fract_y
_atom_site_fract_z
Tl1 0.000 0.500 0.250
Bi1 0.000 0.000 0.000
Sb1 0.000 0.000 0.500


Entry 3:
Here is a relaxed structure of Tl4BiSb2 from Alexandria. Energies are from PBE.

Geometry as CIF:
```
data_Tl4BiSb2
_cell_length_a 5.2793
_cell_length_b 5.2793
_cell_length_c 30.9680
_cell_angle_alpha 90.00
_cell_angle_beta 90.00
_cell_angle_gamma 120.00
_symmetry_space_group_name_H-M 'R -3 m'
_symmetry_Int_Tables_number 166
_symmetry_space_group_name_Hall '-R 3 2"'
loop_
_atom_site_label
_atom_site_fract_x
_atom_site_fract_y
_atom_site_fract_z
Tl1 0.0000 0.0000 0.1194
Tl2 0.0000 0.0000 0.2936
Bi1 0.0000 0.0000 0.5000
Sb1 0.0000 0.0000 0.3971
```


no.,formation energy from raw total energies (eV/atom),E (eV/atom)
1,0.004,-2.961
2,0.096,-3.088
3,0.050,-3.034